# Nd2Sm6Tm3Tl | Alexandria via LeMat-Bulk | GGA-PBE | relaxed
data_Nd2Sm6Tm3Tl
_space_group_name_H-M_alt 'C 1 2/m 1'
_space_group_IT_number 12
_space_group_name_Hall '-C 2y'
_cell_length_a 6.1599
_cell_length_b 10.6846
_cell_length_c 11.8237
_cell_angle_alpha 90.00
_cell_angle_beta 100.03
_cell_angle_gamma 90.00
loop_
_atom_site_label
_atom_site_fract_x
_atom_site_fract_y
_atom_site_fract_z
Nd1 0.0000 0.1662 0.0000
Sm1 0.2427 0.5000 0.7460
Sm2 0.2477 0.3365 0.2531
Tm1 0.0000 0.0000 0.5000
Tm2 0.0000 0.3331 0.5000
Tl1 0.0000 0.5000 0.0000
# - Energy relative to the elements: -0.0263 eV per atom
# - Electronic total energy: -107.9 eV per cell

=====

# NdSmTm2Tl4 | Alexandria via LeMat-Bulk | GGA-PBE | relaxed
data_NdSmTm2Tl4
_space_group_name_H-M_alt 'R -3 m'
_space_group_IT_number 166
_space_group_name_Hall '-R 3 2"'
_cell_length_a 5.3996
_cell_length_b 5.3996
_cell_length_c 26.5304
_cell_angle_alpha 90.00
_cell_angle_beta 90.00
_cell_angle_gamma 120.00
loop_
_atom_site_label
_atom_site_fract_x
_atom_site_fract_y
_atom_site_fract_z
Nd1 0.0000 0.0000 0.0000
Sm1 0.0000 0.0000 0.5000
Tm1 0.0000 0.0000 0.2499
Tl1 0.0000 0.0000 0.1255
Tl2 0.0000 0.0000 0.3756
# - Energy relative to the elements: -0.3351 eV per atom
# - Electronic total energy: -91.7 eV per cell

=====

# Nd6Sm2Tm3Tl | Alexandria via LeMat-Bulk | GGA-PBE | relaxed
data_Nd6Sm2Tm3Tl
_space_group_name_H-M_alt 'C 1 2/m 1'
_space_group_IT_number 12
_space_group_name_Hall '-C 2y'
_cell_length_a 6.1999
_cell_length_b 10.7585
_cell_length_c 11.8577
_cell_angle_alpha 90.00
_cell_angle_beta 100.08
_cell_angle_gamma 90.00
loop_
_atom_site_label
_atom_site_fract_x
_atom_site_fract_y
_atom_site_fract_z
Nd1 0.2428 0.0000 0.2471
Nd2 0.2478 0.1637 0.7522
Sm1 0.0000 0.3336 0.5000
Tm1 0.0000 0.1671 0.0000
Tm2 0.0000 0.5000 0.0000
Tl1 0.0000 0.0000 0.5000
# - Energy relative to the elements: -0.0202 eV per atom
# - Electronic total energy: -108.1 eV per cell

=====

# NdSmTmTl | Alexandria via LeMat-Bulk | GGA-PBE | relaxed
data_NdSmTmTl
_space_group_name_H-M_alt 'F -4 3 m'
_space_group_IT_number 216
_space_group_name_Hall 'F -4 2 3'
_cell_length_a 7.8438
_cell_length_b 7.8438
_cell_length_c 7.8438
_cell_angle_alpha 90.00
_cell_angle_beta 90.00
_cell_angle_gamma 90.00
loop_
_atom_site_label
_atom_site_fract_x
_atom_site_fract_y
_atom_site_fract_z
Nd1 0.0000 0.0000 0.0000
Sm1 0.0000 0.0000 0.5000
Tm1 0.2500 0.2500 0.7500
Tl1 0.2500 0.2500 0.2500
# - Energy relative to the elements: -0.0670 eV per atom
# - Electronic total energy: -66.4 eV per cell

=====

# NdSmTmTl | Alexandria via LeMat-Bulk | GGA-PBE | relaxed
data_NdSmTmTl
_space_group_name_H-M_alt 'P m m m'
_space_group_IT_number 47
_space_group_name_Hall '-P 2 2'
_cell_length_a 4.8629
_cell_length_b 4.8845
_cell_length_c 4.9878
_cell_angle_alpha 90.00
_cell_angle_beta 90.00
_cell_angle_gamma 90.00
loop_
_atom_site_label
_atom_site_fract_x
_atom_site_fract_y
_atom_site_fract_z
Nd1 0.0000 0.0000 0.0000
Sm1 0.5000 0.5000 0.0000
Tm1 0.5000 0.0000 0.5000
Tl1 0.0000 0.5000 0.5000
# - Energy relative to the elements: -0.1873 eV per atom
# - Electronic total energy: -17.1 eV per cell

=====

# Nd6Sm2Y3Tl | Alexandria via LeMat-Bulk | GGA-PBE | relaxed
data_Nd6Sm2Y3Tl
_space_group_name_H-M_alt 'C 1 2/m 1'
_space_group_IT_number 12
_space_group_name_Hall '-C 2y'
_cell_length_a 6.2399
_cell_length_b 10.8366
_cell_length_c 11.9258
_cell_angle_alpha 90.00
_cell_angle_beta 100.14
_cell_angle_gamma 90.00
loop_
_atom_site_label
_atom_site_fract_x
_atom_site_fract_y
_atom_site_fract_z
Nd1 0.2438 0.0000 0.2498
Nd2 0.2463 0.1635 0.7492
Sm1 0.0000 0.3338 0.5000
Y1 0.0000 0.1670 0.0000
Y2 0.0000 0.5000 0.0000
Tl1 0.0000 0.0000 0.5000
# - Energy relative to the elements: -0.0218 eV per atom
# - Electronic total energy: -120.1 eV per cell

=====

# NdSmYTl | Alexandria via LeMat-Bulk | GGA-PBE | relaxed
data_NdSmYTl
_space_group_name_H-M_alt 'P m m m'
_space_group_IT_number 47
_space_group_name_Hall '-P 2 2'
_cell_length_a 4.8748
_cell_length_b 4.8922
_cell_length_c 5.0411
_cell_angle_alpha 90.00
_cell_angle_beta 90.00
_cell_angle_gamma 90.00
loop_
_atom_site_label
_atom_site_fract_x
_atom_site_fract_y
_atom_site_fract_z
Nd1 0.0000 0.0000 0.0000
Sm1 0.5000 0.5000 0.0000
Y1 0.5000 0.0000 0.5000
Tl1 0.0000 0.5000 0.5000
# - Energy relative to the elements: -0.1995 eV per atom
# - Electronic total energy: -19.1 eV per cell

=====

# NdSmYTl | Alexandria via LeMat-Bulk | GGA-PBE | relaxed
data_NdSmYTl
_space_group_name_H-M_alt 'F -4 3 m'
_space_group_IT_number 216
_space_group_name_Hall 'F -4 2 3'
_cell_length_a 7.8904
_cell_length_b 7.8904
_cell_length_c 7.8904
_cell_angle_alpha 90.00
_cell_angle_beta 90.00
_cell_angle_gamma 90.00
loop_
_atom_site_label
_atom_site_fract_x
_atom_site_fract_y
_atom_site_fract_z
Nd1 0.0000 0.0000 0.0000
Sm1 0.0000 0.0000 0.5000
Y1 0.2500 0.2500 0.2500
Tl1 0.2500 0.2500 0.7500
# - Energy relative to the elements: -0.0506 eV per atom
# - Electronic total energy: -74.1 eV per cell

=====

# NdSm2YTl2 | Alexandria via LeMat-Bulk | GGA-PBE | relaxed
data_NdSm2YTl2
_space_group_name_H-M_alt 'P m c 21'
_space_group_IT_number 26
_space_group_name_Hall 'P 2c -2'
_cell_length_a 5.2143
_cell_length_b 10.1904
_cell_length_c 6.8905
_cell_angle_alpha 90.00
_cell_angle_beta 90.00
_cell_angle_gamma 90.00
loop_
_atom_site_label
_atom_site_fract_x
_atom_site_fract_y
_atom_site_fract_z
Nd1 0.0000 0.0423 0.0000
Sm1 0.0000 0.3178 0.3690
Sm2 0.5000 0.4556 0.0904
Y1 0.5000 0.1880 0.7213
Tl1 0.0000 0.3607 0.8356
Tl2 0.5000 0.1330 0.2603
# - Energy relative to the elements: -0.2812 eV per atom
# - Electronic total energy: -54.2 eV per cell

=====

# NdSmY2Tl2 | Alexandria via LeMat-Bulk | GGA-PBE | relaxed
data_NdSmY2Tl2
_space_group_name_H-M_alt 'P m c 21'
_space_group_IT_number 26
_space_group_name_Hall 'P 2c -2'
_cell_length_a 5.1603
_cell_length_b 10.1795
_cell_length_c 6.8718
_cell_angle_alpha 90.00
_cell_angle_beta 90.00
_cell_angle_gamma 90.00
loop_
_atom_site_label
_atom_site_fract_x
_atom_site_fract_y
_atom_site_fract_z
Nd1 0.0000 0.0429 0.0000
Sm1 0.5000 0.1883 0.7277
Y1 0.0000 0.3167 0.3768
Y2 0.5000 0.4577 0.0947
Tl1 0.0000 0.3719 0.8396
Tl2 0.5000 0.1420 0.2596
# - Energy relative to the elements: -0.2902 eV per atom
# - Electronic total energy: -57.8 eV per cell

=====

# Nd3Sm3TlZn2 | Alexandria via LeMat-Bulk | GGA-PBE | relaxed
data_Nd3Sm3TlZn2
_space_group_name_H-M_alt 'P -6 2 m'
_space_group_IT_number 189
_space_group_name_Hall 'P -6 -2'
_cell_length_a 8.8518
_cell_length_b 8.8518
_cell_length_c 3.8695
_cell_angle_alpha 90.00
_cell_angle_beta 90.00
_cell_angle_gamma 120.00
loop_
_atom_site_label
_atom_site_fract_x
_atom_site_fract_y
_atom_site_fract_z
Nd1 0.0000 0.7021 0.0000
Sm1 0.0000 0.3816 0.5000
Tl1 0.0000 0.0000 0.5000
Zn1 0.3333 0.6667 0.0000
# - Energy relative to the elements: -0.1394 eV per atom
# - Electronic total energy: -34.6 eV per cell

=====

# NdSmTlZn | Alexandria via LeMat-Bulk | GGA-PBE | relaxed
data_NdSmTlZn
_space_group_name_H-M_alt 'F -4 3 m'
_space_group_IT_number 216
_space_group_name_Hall 'F -4 2 3'
_cell_length_a 7.5920
_cell_length_b 7.5920
_cell_length_c 7.5920
_cell_angle_alpha 90.00
_cell_angle_beta 90.00
_cell_angle_gamma 90.00
loop_
_atom_site_label
_atom_site_fract_x
_atom_site_fract_y
_atom_site_fract_z
Nd1 0.0000 0.0000 0.0000
Sm1 0.0000 0.0000 0.5000
Tl1 0.2500 0.2500 0.2500
Zn1 0.2500 0.2500 0.7500
# - Energy relative to the elements: -0.3295 eV per atom
# - Electronic total energy: -57.8 eV per cell